VASP calculation (PBE) on a relaxed Ti2CdGa crystal.

Calculated values
* DFT formation energy: -0.18 eV/atom
* total DFT energy (no corrections): -0.3761 Ry per atom

The structure in POSCAR format:
```
Ti2CdGa
1.0
-2.9377 -2.8007 0.6374
2.7296 -2.4483 1.8230
-0.8629 1.7270 3.6112
Ti Ga Cd
2 1 1
Cartesian
-0.4314 0.8635 1.8056 Ti
1.3648 -1.2241 0.9115 Ti
-0.5355 -1.7610 3.0359 Ga
-1.4689 -1.4003 0.3187 Cd
```